(1)
ZrAg4: single point on PBEsol structure, meta-GGA SCAN.

Structure (POSCAR):
```
ZrAg4
1.0
2.8831 0.0000 0.0000
0.0000 2.8831 0.0000
-1.4416 -1.4416 10.4973
Zr Ag
1 4
direct
0.0000 0.0000 0.0000
0.3946 0.3946 0.7891
0.7978 0.7978 0.5956
0.2022 0.2022 0.4044
0.6054 0.6054 0.2109
```

Formation energy from the elements in meV/atom: -5
Electronic total energy in eV/atom: -31.238
Calculated volume in Å³ per cell: 87.26
SG: No. 139
DOS at the Fermi energy in states/eV/cell: 2.82

---

(2)
AlGa2CuW: single point on PBEsol structure, meta-GGA SCAN.

Structure (POSCAR):
```
AlGa2CuW
1.0
4.3873 0.0000 0.0000
0.0000 4.3873 0.0000
0.0000 0.0000 4.4327
Cu Ga W Al
1 2 1 1
direct
0.0000 0.0000 0.0000
0.0000 0.5000 0.0000
0.5000 0.0000 0.0000
0.5000 0.5000 0.5000
0.0000 0.0000 0.5000
```

Formation energy from the elements in meV/atom: 1024
Electronic total energy in eV/atom: -24.043
Calculated volume in Å³ per cell: 85.32
SG: No. 123
DOS at the Fermi energy in states/eV/cell: 2.63

---

(3)
RbMn2H: single point on PBEsol structure, meta-GGA SCAN.

Structure (POSCAR):
```
RbMn2H
1.0
-1.7609 2.9230 -3.6735
-4.4569 2.2420 0.4987
-0.2498 4.9654 0.6491
H Mn Rb
1 2 1
direct
0.0000 0.0000 0.0000
0.2500 0.2500 0.2500
0.7500 0.7500 0.7500
0.5000 0.5000 0.5000
```

Electronic total energy in eV/atom: -13.777
Calculated volume in Å³ per cell: 89.13
SG: No. 225
DOS at the Fermi energy in states/eV/cell: 2.38

---

(4)
BePt5: single point on PBEsol structure, meta-GGA SCAN.

Structure (POSCAR):
```
BePt5
1.0
2.7311 0.0000 0.0000
1.3655 4.7095 0.0083
1.3655 2.1033 6.4890
Be Pt
1 5
direct
0.5000 0.5000 0.5000
0.8625 0.9187 0.3562
0.1711 0.4636 0.1941
0.5000 0.0000 0.0000
0.8289 0.5364 0.8059
0.1375 0.0813 0.6438
```

Formation energy from the elements in meV/atom: -241
Electronic total energy in eV/atom: -59.460
Calculated volume in Å³ per cell: 83.41
SG: No. 12
DOS at the Fermi energy in states/eV/cell: 5.85

---

(5)
SrMn3Cr: single point on PBEsol structure, meta-GGA SCAN.

Structure (POSCAR):
```
SrMn3Cr
1.0
4.4899 0.0000 0.0000
0.0000 4.4899 0.0000
0.0000 0.0000 4.4899
Sr Mn Cr
1 3 1
direct
0.5000 0.5000 0.5000
0.0000 0.5000 0.0000
0.0000 0.0000 0.5000
0.5000 0.0000 0.0000
0.0000 0.0000 0.0000
```

Formation energy from the elements in meV/atom: 462
Electronic total energy in eV/atom: -18.623
Calculated volume in Å³ per cell: 90.51
SG: No. 221
DOS at the Fermi energy in states/eV/cell: 3.99

---

(6)
SbPbBrO2: single point on PBEsol structure, meta-GGA SCAN.

Structure (POSCAR):
```
SbPbBrO2
1.0
5.4890 0.0000 0.0000
0.0000 5.6505 0.0000
0.0000 2.8253 6.2489
Pb Sb O Br
2 2 4 2
direct
0.7500 0.3866 0.2267
0.2500 0.6134 0.7733
0.7500 0.0788 0.8423
0.2500 0.9212 0.1577
0.5000 0.7734 0.0000
0.0000 0.2266 0.0000
0.5000 0.2266 0.0000
0.0000 0.7734 0.0000
0.2500 0.2557 0.4886
0.7500 0.7443 0.5114
```

Electronic total energy in eV/atom: -30.286
Calculated volume in Å³ per cell: 193.81
SG: No. 63
Uncorrected formation energy in eV per atom: -1.294
DOS at the Fermi energy in states/eV/cell: 0.00

---

Q: Look up the DOS at the Fermi energy of the first one.
A: 2.82 states/eV/cell

---

Q: What is the formula in the first record?
A: ZrAg4

---

Q: Look up the calculated volume of the first one.
A: 87.26 Å³ per cell

---

Q: Which of these has the highest electronic total energy?
A: RbMn2H